[1]
Ce2PrHo6Tm3 | PBE-GGA | relaxed

```
12
Lattice="6.111 -0.001 0.000 -3.055 5.293 0.000 -1.020 -1.765 11.513" Properties=species:S:1:pos:R:3 pbc="T T T"
Tm 1.019 1.764 5.756
Tm -2.040 3.530 5.756
Tm 4.077 -0.003 5.756
Ho -1.026 1.783 2.902
Ho -0.020 3.524 8.610
Ho 2.030 3.516 2.901
Ho 0.007 0.012 8.612
Ho 3.063 1.744 8.610
Ho 2.057 0.003 2.902
Pr 0.000 0.000 0.000
Ce -0.001 3.529 0.000
Ce 3.057 1.763 0.000
```

Formation enthalpy at 0 K   54 meV/atom
Total energy   -4.74 eV per atom
Symmetry   C2/m, No. 12

[2]
CaCoCl2 | PBE-GGA | relaxed

```
4
Lattice="6.190 0.008 0.000 3.817 4.873 0.000 -5.003 -2.440 2.707" Properties=species:S:1:pos:R:3 pbc="T T T"
Cl 0.000 0.000 0.000
Cl 1.908 2.436 1.353
Ca 3.095 0.004 1.353
Co 5.003 2.440 0.000
```

Total energy   -3.82 eV per atom
Symmetry   I-4m2, No. 119
E above lowest polymorph   311.3 meV per atom

[3]
Pm5PrNd8 | PBE-GGA | relaxed

```
14
Lattice="-1.257 -4.445 7.335 -1.854 -4.814 -6.966 8.340 2.361 0.078" Properties=species:S:1:pos:R:3 pbc="T T T"
Nd 0.535 -4.614 -0.291
Nd 4.525 -4.886 -2.073
Nd -0.975 -4.138 -3.857
Nd 2.432 -2.815 -4.633
Nd 4.182 -3.036 6.159
Nd 1.342 -3.655 3.556
Nd 2.727 -1.737 0.665
Nd 6.151 -2.713 2.261
Pm 3.698 -5.240 1.298
Pm 0.497 -1.354 -1.934
Pm 7.513 0.547 1.437
Pm -1.249 -7.750 0.092
Pm 3.542 -1.042 3.706
Pr 5.014 -1.748 -1.591
```

Formation enthalpy at 0 K   221 meV/atom
Total energy   -4.54 eV per atom
Symmetry   I-4, No. 82

[4]
Nd2SmZr | PBE-GGA | relaxed

```
4
Lattice="3.526 0.000 0.000 1.763 3.054 0.000 1.763 1.018 11.546" Properties=species:S:1:pos:R:3 pbc="T T T"
Sm 3.526 2.036 5.805
Nd 1.763 1.018 2.684
Nd 1.763 1.018 8.846
Zr 5.289 3.054 11.530
```

Formation enthalpy at 0 K   126 meV/atom
Total energy   -5.58 eV per atom
Symmetry   R3m, No. 160
E above lowest polymorph   0.0 meV per atom

[5]
Ta2ZnW | PBE-GGA | relaxed

```
4
Lattice="-1.821 -2.181 -1.745 -0.685 -1.672 2.803 -4.863 3.392 0.835" Properties=species:S:1:pos:R:3 pbc="T T T"
W -2.468 1.722 0.424
Ta -4.811 3.356 0.826
Ta -2.508 -1.051 0.744
Zn -4.875 0.600 1.151
```

Formation enthalpy at 0 K   100 meV/atom
Total energy   -9.38 eV per atom
Symmetry   P4mm, No. 99

[6]
Ac2PmAl4 | PBE-GGA | relaxed

```
7
Lattice="4.303 0.000 -0.981 -0.233 4.382 -1.024 0.152 0.167 10.596" Properties=species:S:1:pos:R:3 pbc="T T T"
Pm 2.152 0.000 -0.491
Ac 0.809 0.872 3.549
Ac 3.413 3.677 5.042
Al 2.603 2.803 1.489
Al 0.155 2.484 0.679
Al 4.067 2.065 7.911
Al 1.619 1.745 7.102
```

Formation enthalpy at 0 K   -337 meV/atom
Total energy   -4.33 eV per atom
Symmetry   Immm, No. 71

[7]
BaHgAsO4 | PBE-GGA | relaxed

```
7
Lattice="-5.069 -1.027 3.907 0.865 -0.312 6.416 -2.183 4.776 3.800" Properties=species:S:1:pos:R:3 pbc="T T T"
Ba -4.790 2.578 10.593
Hg -3.194 1.719 7.062
O -2.291 1.233 5.066
O -1.803 1.057 8.692
O -5.156 0.653 7.274
O -3.525 3.932 7.214
As -1.597 0.859 3.531
```

Total energy   -4.86 eV per atom
Symmetry   F-43m, No. 216

[8]
Sc4HSe5 | PBE-GGA | relaxed

```
10
Lattice="-1.179 -0.660 3.645 -8.891 -3.216 -3.458 4.922 -5.241 -1.431" Properties=species:S:1:pos:R:3 pbc="T T T"
Sc -2.306 -7.975 -0.118
Sc 0.010 -2.209 1.676
Sc -2.842 -1.142 -1.126
Sc -5.158 -6.908 -2.920
Se 1.425 -4.605 1.699
Se -6.573 -4.512 -2.944
Se -4.255 -6.385 -0.460
Se -0.894 -2.732 -0.784
Se -5.035 -1.938 0.093
H -0.589 -0.330 1.823
```

Total energy   -5.96 eV per atom
Symmetry   C2/m, No. 12

[9]
Al2TeO | PBE-GGA | relaxed

```
4
Lattice="4.032 -2.198 0.096 0.216 -4.451 -1.113 2.006 -1.291 -3.925" Properties=species:S:1:pos:R:3 pbc="T T T"
O 0.000 0.000 0.000
Al 4.691 -5.955 -3.707
Al 1.564 -1.985 -1.236
Te 3.128 -3.970 -2.471
```

Total energy   -3.88 eV per atom
Symmetry   Fm-3m, No. 225
E above lowest polymorph   848.1 meV per atom

[10]
PmErTcNi | PBE-GGA | relaxed

```
4
Lattice="4.846 0.000 0.000 2.423 4.197 0.000 2.423 1.399 3.957" Properties=species:S:1:pos:R:3 pbc="T T T"
Tc 7.270 4.197 2.968
Pm 0.000 0.000 0.000
Ni 2.423 1.399 0.989
Er 4.846 2.798 1.979
```

Formation enthalpy at 0 K   -52 meV/atom
Total energy   -6.42 eV per atom
Symmetry   F-43m, No. 216

[11]
GaSeSN2 | PBE-GGA | relaxed

```
5
Lattice="3.850 0.000 0.000 0.000 3.850 0.000 0.000 0.000 5.558" Properties=species:S:1:pos:R:3 pbc="T T T"
N 1.925 0.000 0.000
N 0.000 1.925 0.000
Ga 0.000 0.000 0.000
Se 1.925 1.925 2.779
S 0.000 0.000 2.779
```

Total energy   -4.11 eV per atom
Symmetry   P4/mmm, No. 123
E above lowest polymorph   122.5 meV per atom

[12]
KYTl2I6 | PBE-GGA | relaxed

```
10
Lattice="-8.303 1.977 -1.293 -5.804 -1.442 6.226 -3.490 7.067 4.372" Properties=species:S:1:pos:R:3 pbc="T T T"
I -6.764 2.548 1.674
I -6.156 5.095 5.847
I -12.250 2.866 3.315
I -9.080 6.639 3.253
I -10.165 5.310 7.089
I -8.304 0.752 6.896
Tl -8.883 3.317 4.460
Tl -3.543 6.783 4.260
K -13.444 4.294 6.422
Y -4.675 0.334 1.706
```

Total energy   -3.28 eV per atom
Symmetry   R3, No. 146

[13]
ReRh2Se | PBE-GGA | relaxed

```
4
Lattice="4.011 0.000 0.000 0.000 3.860 0.000 0.000 0.000 3.860" Properties=species:S:1:pos:R:3 pbc="T T T"
Se 2.005 1.930 0.000
Rh 0.000 0.000 0.000
Rh 0.000 1.930 1.930
Re 2.005 0.000 1.930
```

Total energy   -7.19 eV per atom
Symmetry   P4/mmm, No. 123

[14]
BePd2Pb | PBE-GGA | relaxed

```
4
Lattice="-2.989 -0.026 0.169 -0.003 -2.950 -0.511 0.414 -1.239 7.157" Properties=species:S:1:pos:R:3 pbc="T T T"
Pd 0.077 -0.229 1.325
Pd 0.338 -1.010 5.832
Be -1.496 -1.488 -0.171
Pb -1.289 -2.108 3.408
```

Formation enthalpy at 0 K   -242 meV/atom
Total energy   -4.70 eV per atom
Symmetry   P4/mmm, No. 123
E above lowest polymorph   0.0 meV per atom

[15]
FeAuC | PBE-GGA | relaxed

```
3
Lattice="3.150 0.000 0.000 -1.575 2.728 0.000 0.000 0.000 4.481" Properties=species:S:1:pos:R:3 pbc="T T T"
Fe 1.575 0.909 2.241
C 0.000 1.819 2.241
Au 0.000 1.819 0.000
```

Formation enthalpy at 0 K   590 meV/atom
Total energy   -6.40 eV per atom
Symmetry   P-6m2, No. 187
E above lowest polymorph   0.0 meV per atom

[16]
K2PrSe2O6 | PBE-GGA | relaxed

```
11
Lattice="-3.216 3.169 -4.245 4.407 -3.270 -1.256 -5.916 -4.271 1.294" Properties=species:S:1:pos:R:3 pbc="T T T"
K -1.235 0.383 -3.302
K -3.490 -4.754 -0.905
O 2.070 -3.483 -1.736
O 0.341 -1.779 -4.019
O -5.066 -2.592 -0.189
O -1.548 -2.841 -0.948
O -6.795 -0.888 -2.472
O -3.177 -1.531 -3.260
Se -0.958 -1.362 -0.291
Se -3.768 -3.010 -3.917
Pr -4.566 -0.551 -1.476
```

Total energy   -5.52 eV per atom
Symmetry   C2/m, No. 12

[17]
BaFeP2 | PBE-GGA | relaxed

```
4
Lattice="5.346 0.012 0.030 0.029 5.346 -0.030 -1.624 -3.746 3.452" Properties=species:S:1:pos:R:3 pbc="T T T"
P 3.713 -0.022 1.741
P 0.122 0.122 0.000
Fe -0.114 1.481 1.711
Ba 2.718 2.709 0.000
```

Formation enthalpy at 0 K   69 meV/atom
Total energy   -5.23 eV per atom
Symmetry   Imm2, No. 44
E above lowest polymorph   635.4 meV per atom

[18]
KBe2Ru | PBE-GGA | relaxed

```
4
Lattice="5.024 0.015 -0.003 0.254 5.018 0.003 -1.703 -3.499 3.179" Properties=species:S:1:pos:R:3 pbc="T T T"
K 0.595 2.018 1.591
Be 3.151 3.005 0.000
Be 4.767 4.545 0.000
Ru 2.980 -0.484 1.588
```

Formation enthalpy at 0 K   1024 meV/atom
Total energy   -3.43 eV per atom
Symmetry   Immm, No. 71
E above lowest polymorph   800.0 meV per atom

[19]
BaAcZnGe | PBE-GGA | relaxed

```
4
Lattice="-2.434 -4.589 2.143 3.169 -4.178 2.020 0.192 -0.958 5.534" Properties=species:S:1:pos:R:3 pbc="T T T"
Ba 0.000 0.000 0.000
Zn 0.695 -7.294 7.272
Ac 0.463 -4.863 4.848
Ge 0.232 -2.431 2.424
```

Formation enthalpy at 0 K   -340 meV/atom
Total energy   -3.32 eV per atom
Symmetry   F-43m, No. 216

[20]
Al2AsP | PBE-GGA | relaxed

```
4
Lattice="-8.680 -2.540 -2.813 -7.163 -5.367 -3.098 -8.353 -4.459 -0.246" Properties=species:S:1:pos:R:3 pbc="T T T"
P -17.459 -8.924 -4.443
Al -0.010 -0.005 -0.003
Al -6.168 -3.153 -1.570
As -12.656 -6.469 -3.221
```

Formation enthalpy at 0 K   166 meV/atom
Total energy   -4.22 eV per atom
Symmetry   R3m, No. 160
E above lowest polymorph   713.6 meV per atom

[21]
Zn2InN | PBE-GGA | relaxed

```
4
Lattice="3.228 0.000 0.000 1.614 2.796 0.000 1.614 0.932 7.574" Properties=species:S:1:pos:R:3 pbc="T T T"
Zn 1.614 0.932 4.814
Zn 4.842 2.796 2.761
In 0.000 0.000 0.000
N 3.228 1.864 3.787
```

Total energy   -3.13 eV per atom
Symmetry   R-3m, No. 166
E above lowest polymorph   92.2 meV per atom

[22]
Cs2ZnIrF6 | PBE-GGA | relaxed

```
10
Lattice="6.165 0.000 0.000 0.000 6.165 0.000 3.082 3.082 4.361" Properties=species:S:1:pos:R:3 pbc="T T T"
F 6.165 6.165 2.167
F 1.551 1.551 0.000
F 1.551 4.614 0.000
F 4.614 4.614 0.000
F 3.082 3.082 2.193
F 4.614 1.551 0.000
Zn 3.082 3.082 0.000
Cs 3.082 6.165 2.180
Cs 6.165 3.082 2.180
Ir 0.000 0.000 0.000
```

Total energy   -4.24 eV per atom
Symmetry   I4/mmm, No. 139

[23]
Ac2TeRh | PBE-GGA | relaxed

```
4
Lattice="-0.745 5.432 0.829 -3.312 2.892 -3.379 -4.881 1.880 1.843" Properties=species:S:1:pos:R:3 pbc="T T T"
Te -4.469 5.102 -0.354
Ac -2.235 2.551 -0.177
Ac -6.704 7.653 -0.531
Rh 0.000 0.000 0.000
```

Total energy   -5.38 eV per atom
Symmetry   Fm-3m, No. 225
E above lowest polymorph   391.2 meV per atom

[24]
Rb3WBr7 | PBE-GGA | relaxed

```
22
Lattice="9.866 -0.115 0.000 -3.525 9.215 0.000 0.000 0.000 10.006" Properties=species:S:1:pos:R:3 pbc="T T T"
Br 1.203 5.921 7.504
Br 5.138 3.179 2.501
Br 6.720 6.660 4.509
Br 1.301 5.852 2.501
Br 5.040 3.247 7.504
Br 2.420 0.489 0.494
Br 9.129 0.398 2.501
Br 3.912 8.594 9.521
Br 2.428 0.506 4.518
Br -0.366 2.453 5.488
Br 3.920 8.610 5.497
Br -0.379 2.440 9.512
Br 6.707 6.647 0.485
Br -2.789 8.702 7.504
Rb -1.529 4.175 2.492
Rb 7.870 4.924 7.495
Rb 3.214 4.613 0.000
Rb 4.446 0.012 7.514
Rb 3.126 4.487 5.003
Rb 1.894 9.088 2.511
W 0.001 0.002 5.003
W 6.339 9.098 0.000
```

Total energy   -3.59 eV per atom
Symmetry   C222_1, No. 20

[25]
ErScCu2 | PBE-GGA | relaxed

```
4
Lattice="4.739 0.000 0.000 2.370 4.104 0.000 2.370 1.368 3.869" Properties=species:S:1:pos:R:3 pbc="T T T"
Sc 4.739 2.736 1.935
Cu 2.370 1.368 0.967
Cu 7.109 4.104 2.902
Er 0.000 0.000 0.000
```

Formation enthalpy at 0 K   -259 meV/atom
Total energy   -5.03 eV per atom
Symmetry   Fm-3m, No. 225
E above lowest polymorph   10.0 meV per atom

[26]
MnReTcOs | PBE-GGA | relaxed

```
4
Lattice="4.332 0.000 0.000 2.166 3.752 0.000 2.166 1.251 3.537" Properties=species:S:1:pos:R:3 pbc="T T T"
Os 2.166 1.251 0.884
Tc 6.498 3.752 2.653
Mn 0.000 0.000 0.000
Re 4.332 2.501 1.769
```

Formation enthalpy at 0 K   170 meV/atom
Total energy   -10.63 eV per atom
Symmetry   F-43m, No. 216

[27]
Tc3MoC | PBE-GGA | relaxed

```
5
Lattice="4.064 0.000 0.000 0.000 4.064 0.000 0.000 0.000 4.064" Properties=species:S:1:pos:R:3 pbc="T T T"
Tc 0.000 2.032 0.000
Tc 2.032 0.000 0.000
Tc 0.000 0.000 2.032
Mo 2.032 2.032 2.032
C 0.000 0.000 0.000
```

Formation enthalpy at 0 K   84 meV/atom
Total energy   -10.15 eV per atom
Symmetry   Pm-3m, No. 221
E above lowest polymorph   0.0 meV per atom

So what do the calculations give for ρ? Going down the list: 8.55 3.46 6.71 7.08 15.24 5.83 4.11 3.63 4.79 9.67 4.21 4.45 13.09 10.92 11.42 3.96 4.31 3.28 6.65 3.18 6.31 6.39 9.43 3.67 7.49 15.29 9.94 g/cm³.
So what do the calculations give for N(E_F)? Going down the list: 22.79 6.45 20.46 5.44 2.54 5.70 1.39 2.30 1.46 3.38 2.43 0.00 4.42 0.89 1.92 2.60 3.82 3.16 4.57 1.91 1.94 2.71 4.70 7.23 2.59 3.23 3.00 states/eV per cell.